DFT (PBE) results for crystalline Ca3Ag2Sn3 at its relaxed geometry.

Lattice parameters (Å, degrees): 4.7392 6.1537 15.7948 90.00 90.00 112.65
Sites, in units of the cell vectors:
Ca  0.0867  0.1734  0.8892
Ca  0.9133  0.8266  0.3892
Ca  0.3568  0.7135  0.7500
Ca  0.9133  0.8266  0.1108
Ca  0.0867  0.1734  0.6108
Ca  0.6432  0.2865  0.2500
Sn  0.3840  0.7680  0.5392
Sn  0.3840  0.7680  0.9608
Sn  0.3535  0.7071  0.2500
Sn  0.6160  0.2320  0.4608
Sn  0.6160  0.2320  0.0392
Sn  0.6465  0.2929  0.7500
Ag  0.2092  0.4184  0.1035
Ag  0.7908  0.5816  0.8965
Ag  0.2092  0.4184  0.3965
Ag  0.7908  0.5816  0.6035

Calculated values
- DFT total energy: -3.495 eV/atom
- ΔH_f (0 K): -0.530 eV/atom
- M_tot: 0.0 μB/cell